Entry 1:
Below is a geometry-optimized KNa5Sr structure, with properties calculated at the PBE level.

## Properties
The calculation puts the uncorrected energy at -8.8 eV/cell. For the volume, the calculation gives 48.74 Å³ per atom. The value obtained for the formation energy from the elements is 0.079 eV/atom. The calculation puts the energy above the most stable polymorph in this dataset at 0 meV/atom. As for the space group: P4/mmm.

```
KNa5Sr
1.0
5.2592 0.0000 0.0000
0.0000 5.2592 0.0000
0.0000 0.0000 12.3364
K Na Sr
1 5 1
direct
0.0000 0.0000 0.0000
0.0000 0.0000 0.5000
0.0000 0.5000 0.2620
0.0000 0.5000 0.7380
0.5000 0.0000 0.2620
0.5000 0.0000 0.7380
0.5000 0.5000 0.5000
```

***

Entry 2:
Below is a geometry-optimized Ca3BPt structure, with properties calculated at the PBE level.

## Properties
The calculation puts the uncorrected energy at -18.3 eV/cell. For the volume, the calculation gives 25.89 Å³ per atom. The value obtained for the formation energy from the elements is 0.084 eV/atom. The calculation puts the energy above the most stable polymorph in this dataset at 0 meV/atom. As for the space group: Pm-3m.

```
Ca3BPt
1.0
5.0587 0.0000 0.0000
0.0000 5.0587 0.0000
0.0000 0.0000 5.0587
Ca B Pt
3 1 1
direct
0.0000 0.0000 0.5000
0.0000 0.5000 0.0000
0.5000 0.0000 0.0000
0.0000 0.0000 0.0000
0.5000 0.5000 0.5000
```

***

Entry 3:
Below is a geometry-optimized GeS2IN structure, with properties calculated at the PBE level.

## Properties
The calculation puts the uncorrected energy at -16.5 eV/cell. The value obtained for the formation energy from raw total energies is 6.23 eV per formula unit. For the volume, the calculation gives 21.41 Å³ per atom. The calculation puts the energy above the most stable polymorph in this dataset at 353 meV/atom. As for the space group: P4/mmm.

```
GeS2IN
1.0
5.2209 0.0000 0.0000
0.0000 5.2209 0.0000
0.0000 0.0000 3.9266
Ge S I N
1 2 1 1
direct
0.0000 0.0000 0.0000
0.0000 0.5000 0.5000
0.5000 0.0000 0.5000
0.5000 0.5000 0.5000
0.5000 0.5000 0.0000
```

***

Entry 4:
Below is a geometry-optimized AlTlH3 structure, with properties calculated at the PBE level.

## Properties
The calculation puts the uncorrected energy at -12.5 eV/cell. For the volume, the calculation gives 14.26 Å³ per atom. The calculation puts the energy above the most stable polymorph in this dataset at 481 meV/atom. As for the space group: Pm-3m.

```
AlTlH3
1.0
4.1471 0.0000 0.0000
0.0000 4.1471 0.0000
0.0000 0.0000 4.1471
Al Tl H
1 1 3
direct
0.0000 0.0000 0.0000
0.5000 0.5000 0.5000
0.0000 0.5000 0.5000
0.5000 0.0000 0.5000
0.5000 0.5000 0.0000
```

***

Entry 5:
Below is a geometry-optimized SrPm2UO8 structure, with properties calculated at the PBE level.

## Properties
The calculation puts the uncorrected energy at -97.6 eV/cell. The value obtained for the formation energy from raw total energies is -35.43 eV per formula unit. For the volume, the calculation gives 14.54 Å³ per atom. As for the space group: P2/m.

```
SrPm2UO8
1.0
3.9300 0.0000 0.0000
0.0000 8.1898 0.0000
-0.0307 0.0000 5.4201
Sr Pm U O
1 2 1 8
direct
0.0000 0.0000 0.0000
0.5000 0.2820 0.5000
0.5000 0.7180 0.5000
0.0000 0.5000 0.0000
0.0024 0.2871 0.7641
0.0024 0.7129 0.7641
0.4968 0.5000 0.2270
0.5001 0.0000 0.3585
0.4999 0.0000 0.6415
0.5032 0.5000 0.7730
0.9976 0.2871 0.2359
0.9976 0.7129 0.2359
```

***

Entry 6:
Below is a geometry-optimized TmZnNiPb structure, with properties calculated at the PBE level.

## Properties
The calculation puts the uncorrected energy at -15.9 eV/cell. For the volume, the calculation gives 19.34 Å³ per atom. The value obtained for the formation energy from the elements is -0.178 eV/atom. As for the space group: F-43m.

```
TmZnNiPb
1.0
0.0000 3.3817 3.3817
3.3817 0.0000 3.3817
3.3817 3.3817 0.0000
Tm Zn Ni Pb
1 1 1 1
direct
0.0000 0.0000 0.0000
0.7500 0.7500 0.7500
0.2500 0.2500 0.2500
0.5000 0.5000 0.5000
```

***

Entry 7:
Below is a geometry-optimized Ho8Si3Te4Au structure, with properties calculated at the PBE level.

## Properties
The calculation puts the uncorrected energy at -85.7 eV/cell. The value obtained for the formation energy from raw total energies is -16.93 eV per formula unit. For the volume, the calculation gives 27.08 Å³ per atom. As for the space group: R-3m.

```
Ho8Si3Te4Au
1.0
4.2095 2.4303 7.0593
-4.2095 2.4303 7.0593
0.0000 -4.8607 7.0593
Ho Si Te Au
8 3 4 1
direct
0.2310 0.7457 0.7457
0.2391 0.2391 0.2391
0.2543 0.2543 0.7690
0.2543 0.7690 0.2543
0.7457 0.2310 0.7457
0.7457 0.7457 0.2310
0.7609 0.7609 0.7609
0.7690 0.2543 0.2543
0.0000 0.0000 0.5000
0.0000 0.5000 0.0000
0.5000 0.0000 0.0000
0.0000 0.0000 0.0000
0.0000 0.5000 0.5000
0.5000 0.0000 0.5000
0.5000 0.5000 0.0000
0.5000 0.5000 0.5000
```

***

Entry 8:
Below is a geometry-optimized PuMn4S8 structure, with properties calculated at the PBE level.

## Properties
The calculation puts the uncorrected energy at -93.8 eV/cell. The value obtained for the formation energy from raw total energies is -9.80 eV per formula unit. For the volume, the calculation gives 19.85 Å³ per atom. As for the space group: R-3m.

```
PuMn4S8
1.0
3.4373 1.9845 6.3039
-3.4373 1.9845 6.3039
0.0000 -3.9691 6.3039
Pu Mn S
1 4 8
direct
0.0000 0.0000 0.0000
0.0000 0.0000 0.5000
0.0000 0.5000 0.0000
0.5000 0.0000 0.0000
0.5000 0.5000 0.5000
0.2341 0.2341 0.2341
0.2339 0.7380 0.7380
0.2620 0.2620 0.7661
0.2620 0.7661 0.2620
0.7380 0.2339 0.7380
0.7380 0.7380 0.2339
0.7661 0.2620 0.2620
0.7659 0.7659 0.7659
```

***

Entry 9:
Below is a geometry-optimized La5Os2Pd structure, with properties calculated at the PBE level.

## Properties
The calculation puts the uncorrected energy at -109.8 eV/cell. For the volume, the calculation gives 27.39 Å³ per atom. The value obtained for the formation energy from the elements is -0.324 eV/atom. As for the space group: I4/mcm.

```
La5Os2Pd
1.0
-3.9826 3.9826 6.9081
3.9826 -3.9826 6.9081
3.9826 3.9826 -6.9081
La Os Pd
10 4 2
direct
0.0000 0.0000 0.0000
0.0297 0.5297 0.8289
0.2008 0.0297 0.5000
0.2992 0.7992 0.8289
0.4703 0.2992 0.5000
0.5000 0.5000 0.0000
0.5297 0.7008 0.5000
0.7008 0.2008 0.1711
0.7992 0.9703 0.5000
0.9703 0.4703 0.1711
0.1356 0.3644 0.5000
0.3644 0.8644 0.2288
0.6356 0.1356 0.7712
0.8644 0.6356 0.5000
0.2500 0.2500 0.0000
0.7500 0.7500 0.0000
```

***

Entry 10:
Below is a geometry-optimized La5Tb2Pm5 structure, with properties calculated at the PBE level.

## Properties
The calculation puts the uncorrected energy at -57.4 eV/cell. For the volume, the calculation gives 35.13 Å³ per atom. The value obtained for the formation energy from the elements is 0.021 eV/atom. As for the space group: C2/m.

```
La5Tb2Pm5
1.0
7.8299 -2.6056 0.0000
7.8299 2.6056 0.0000
-5.2060 0.0000 10.3319
La Tb Pm
5 2 5
direct
0.0000 0.0000 0.0000
0.0818 0.0818 0.7473
0.2493 0.2493 0.2527
0.7507 0.7507 0.7473
0.9182 0.9182 0.2527
0.1675 0.1675 0.4998
0.8325 0.8325 0.5002
0.3329 0.3329 0.0005
0.4148 0.4148 0.7460
0.5000 0.5000 0.5000
0.5852 0.5852 0.2540
0.6671 0.6671 0.9995
```

***

Entry 11:
Below is a geometry-optimized TlSi2SnTe6 structure, with properties calculated at the PBE level.

## Properties
The calculation puts the uncorrected energy at -73.3 eV/cell. The value obtained for the formation energy from raw total energies is -0.59 eV per formula unit. For the volume, the calculation gives 34.00 Å³ per atom. As for the space group: C2/c.

```
TlSi2SnTe6
1.0
7.3808 -6.1989 0.0000
7.3808 6.1989 0.0000
-2.4838 0.0000 7.4321
Tl Si Sn Te
2 4 2 12
direct
0.1826 0.8174 0.7500
0.8174 0.1826 0.2500
0.1994 0.3644 0.7861
0.3644 0.1994 0.2861
0.6356 0.8006 0.7139
0.8006 0.6356 0.2139
0.2566 0.7434 0.2500
0.7434 0.2566 0.7500
0.0373 0.1674 0.6515
0.0481 0.6003 0.8864
0.1674 0.0373 0.1515
0.3221 0.4164 0.5519
0.3997 0.9519 0.6136
0.4164 0.3221 0.0519
0.5836 0.6779 0.9481
0.6003 0.0481 0.3864
0.6779 0.5836 0.4481
0.8326 0.9627 0.8485
0.9519 0.3997 0.1136
0.9627 0.8326 0.3485
```

***

Entry 12:
Below is a geometry-optimized LiYTe2 structure, with properties calculated at the PBE level.

## Properties
The calculation puts the uncorrected energy at -19.3 eV/cell. The value obtained for the formation energy from raw total energies is -4.60 eV per formula unit. For the volume, the calculation gives 29.62 Å³ per atom. As for the space group: Imm2.

```
LiYTe2
1.0
-1.9794 2.0641 7.2499
1.9794 -2.0641 7.2499
1.9794 2.0641 -7.2499
Li Y Te
1 1 2
direct
0.0000 0.0000 0.0000
0.7256 0.2256 0.5000
0.3161 0.8161 0.5000
0.5666 0.5666 0.0000
```